Computed, not measured: an optimized crystal structure of KRb2WO4 at the PBE+U level of DFT.

Lattice parameters (Å, degrees): 6.2918 6.2918 6.2918 117.94 117.94 93.61
Fractional positions:
K 0.0000 0.0000 0.0000
Rb 0.5000 0.5000 0.0000
Rb 0.7500 0.2500 0.5000
W 0.2500 0.7500 0.5000
O 0.1465 0.0193 0.4799
O 0.3335 0.8535 0.8728
O 0.5393 0.6665 0.5201
O 0.9807 0.4607 0.1272

Output
DFT total energy = -5.55 eV/atom
spin magnetization = 1.00 μB/f.u.
space group = I-4, No. 82
theoretical density = 4.20 g cm⁻³